{
  "formula": "Ta2Os",
  "functional": "GGA-PBE",
  "state": "relaxed",
  "lattice_angstrom": [[-5.1026, 4.5611, 1.8545], [-3.3743, 6.0096, 0.1449], [-2.3065, -0.8240, -1.4173]],
  "species": ["Ta", "Ta", "Os"],
  "fractional_positions": [[0.6625, 0.6625, 0.3375], [0.3375, 0.3375, 0.6625], [0.0000, 0.0000, 0.0000]],
  "mass_density_g_cm3": 18.2,
  "ef_ev_per_atom": -0.091,
  "space_group": "No. 69",
  "crystal_system": "orthorhombic",
  "dos_at_fermi_per_ev_cell": 3.305
}

---

{
  "formula": "Ta3Os2",
  "functional": "GGA-PBE",
  "state": "relaxed",
  "lattice_angstrom": [[-4.6420, -9.6416, -2.0740], [-2.2833, -9.9020, -3.9429], [-1.9972, -10.6654, -1.0344]],
  "species": ["Ta", "Ta", "Os", "Os", "Ta"],
  "fractional_positions": [[0.0000, 0.0000, 0.0000], [0.7974, 0.7974, 0.7974], [0.3987, 0.3987, 0.3987], [0.6013, 0.6013, 0.6013], [0.2026, 0.2026, 0.2026]],
  "mass_density_g_cm3": 18.0,
  "e_above_lowest_polymorph_ev_per_atom": 0.391,
  "ef_ev_per_atom": 0.061,
  "space_group": "No. 166",
  "crystal_system": "trigonal",
  "dos_at_fermi_per_ev_cell": 5.586
}

---

{
  "formula": "TaOs2",
  "functional": "GGA-PBE",
  "state": "relaxed",
  "lattice_angstrom": [[-3.1420, 3.1420, 2.5212], [3.1420, -3.1420, 2.5212], [3.1420, 3.1420, -2.5212]],
  "species": ["Os", "Os", "Os", "Ta", "Ta", "Os"],
  "fractional_positions": [[0.8606, 0.3606, 0.2213], [0.3606, 0.1394, 0.5000], [0.6394, 0.8606, 0.5000], [0.2500, 0.2500, 0.0000], [0.7500, 0.7500, 0.0000], [0.1394, 0.6394, 0.7787]],
  "mass_density_g_cm3": 18.7,
  "ef_ev_per_atom": 0.470,
  "space_group": "No. 140",
  "crystal_system": "tetragonal",
  "dos_at_fermi_per_ev_cell": 4.554
}

---

{
  "formula": "TaOs2",
  "functional": "GGA-PBE",
  "state": "relaxed",
  "lattice_angstrom": [[-2.0719, -1.0789, -2.8570], [-1.9996, -2.1303, 2.2545], [-2.5187, 3.0702, 0.6672]],
  "species": ["Os", "Ta", "Os"],
  "fractional_positions": [[0.0000, 0.5000, 0.5000], [0.0000, 0.0000, 0.0000], [0.5000, 0.0000, 0.5000]],
  "mass_density_g_cm3": 17.0,
  "ef_ev_per_atom": 0.657,
  "space_group": "No. 123",
  "crystal_system": "tetragonal",
  "dos_at_fermi_per_ev_cell": 2.572
}

---

{
  "formula": "TaOs2",
  "functional": "GGA-PBE",
  "state": "relaxed",
  "lattice_angstrom": [[-2.4082, 0.1550, 4.7326], [-1.0224, -2.2435, 4.7056], [4.6690, 2.6510, 4.1187]],
  "species": ["Os", "Os", "Ta", "Os", "Os", "Ta"],
  "fractional_positions": [[0.0289, 0.0289, 0.1798], [0.3087, 0.3087, 0.1296], [0.6347, 0.6347, 0.4750], [0.6913, 0.6913, 0.8704], [0.9711, 0.9711, 0.8202], [0.3653, 0.3653, 0.5250]],
  "mass_density_g_cm3": 20.0,
  "ef_ev_per_atom": -0.016,
  "space_group": "No. 12",
  "crystal_system": "monoclinic",
  "dos_at_fermi_per_ev_cell": 4.979
}

---

{
  "formula": "Ta2Os",
  "functional": "GGA-PBE",
  "state": "relaxed",
  "lattice_angstrom": [[-7.8773, -4.7308, -3.8035], [4.4545, -8.7382, 1.6430], [-2.1264, -0.2074, 4.6619]],
  "species": ["Ta", "Ta", "Os", "Ta", "Os", "Ta", "Ta", "Ta", "Os", "Ta", "Ta", "Os", "Ta", "Ta", "Ta", "Ta", "Ta", "Os", "Ta", "Os", "Ta", "Ta", "Ta", "Ta", "Ta", "Os", "Os", "Os", "Os", "Ta"],
  "fractional_positions": [[0.6814, 0.6814, 0.7503], [0.1814, 0.8186, 0.2503], [0.2416, 0.5674, 0.5000], [0.3974, 0.6026, 0.0000], [0.7584, 0.4326, 0.5000], [0.5360, 0.1296, 0.0000], [0.6814, 0.6814, 0.2497], [0.8704, 0.4640, 0.0000], [0.5000, 0.5000, 0.5000], [0.1296, 0.5360, 0.0000], [0.8974, 0.8974, 0.5000], [0.2584, 0.0674, 0.0000], [0.8186, 0.1814, 0.7497], [0.3704, 0.0360, 0.5000], [0.1814, 0.8186, 0.7497], [0.8186, 0.1814, 0.2503], [0.4640, 0.8704, 0.0000], [0.5674, 0.2416, 0.5000], [0.3186, 0.3186, 0.2497], [0.9326, 0.7416, 0.0000], [0.3186, 0.3186, 0.7503], [0.9640, 0.6296, 0.5000], [0.0360, 0.3704, 0.5000], [0.6296, 0.9640, 0.5000], [0.1026, 0.1026, 0.5000], [0.4326, 0.7584, 0.5000], [0.0000, 0.0000, 0.0000], [0.7416, 0.9326, 0.0000], [0.0674, 0.2584, 0.0000], [0.6026, 0.3974, 0.0000]],
  "mass_density_g_cm3": 18.1,
  "ef_ev_per_atom": -0.335,
  "space_group": "No. 136",
  "crystal_system": "tetragonal",
  "dos_at_fermi_per_ev_cell": 21.310
}

---

{
  "formula": "TaOs2",
  "functional": "GGA-PBE",
  "state": "relaxed",
  "lattice_angstrom": [[0.0000, 3.6415, 3.6415], [3.6415, 0.0000, 3.6415], [3.6415, 3.6415, 0.0000]],
  "species": ["Os", "Ta", "Os", "Os", "Ta", "Os"],
  "fractional_positions": [[0.6250, 0.6250, 0.1250], [0.0000, 0.0000, 0.0000], [0.6250, 0.1250, 0.6250], [0.6250, 0.6250, 0.6250], [0.2500, 0.2500, 0.2500], [0.1250, 0.6250, 0.6250]],
  "mass_density_g_cm3": 19.3,
  "ef_ev_per_atom": -0.001,
  "space_group": "No. 227",
  "crystal_system": "cubic",
  "dos_at_fermi_per_ev_cell": 6.457
}

---

{
  "formula": "Ta2Os",
  "functional": "GGA-PBE",
  "state": "relaxed",
  "lattice_angstrom": [[-1.5700, -1.6783, 2.1922], [5.1270, -1.9795, 4.4569], [-0.6589, 3.8263, 2.4574]],
  "species": ["Ta", "Os", "Ta", "Os", "Ta", "Ta"],
  "fractional_positions": [[0.5813, 0.8374, 0.2500], [0.0817, 0.8366, 0.7500], [0.4187, 0.1626, 0.7500], [0.9183, 0.1634, 0.2500], [0.2520, 0.4959, 0.2500], [0.7480, 0.5041, 0.7500]],
  "mass_density_g_cm3": 18.2,
  "ef_ev_per_atom": -0.283,
  "space_group": "No. 63",
  "crystal_system": "orthorhombic",
  "dos_at_fermi_per_ev_cell": 2.897
}